1) 4
Lattice="11.4304 0.0102 0.0060 10.7464 3.8949 0.0060 10.7464 1.8923 3.4043" Properties=species:S:1:pos:R:3 comment="KLa2Ir, optimized geometry, DFT PBE" n_ef_per_ev_cell=2.29 pbc="T T T"
La 7.3193 1.2888 0.7595
La 32.6550 5.7502 3.3885
K 25.4758 4.4860 2.6435
Ir 16.8577 2.9684 1.7493

2) 4
Lattice="5.0311 0.7435 -0.6169 -0.8286 5.0178 -0.6169 0.4347 0.5960 4.1754" Properties=species:S:1:pos:R:3 comment="KLa2Ir, optimized geometry, DFT PBE" n_ef_per_ev_cell=5.11 pbc="T T T"
Ir 2.7329 0.6697 1.7793
K -0.1969 2.8069 1.7793
La 2.1012 2.8806 -0.6169
La 0.0000 0.0000 0.0000

So which one is most stable? That would be 1), about 0.138 eV/atom below the next structure.

1) 4
Lattice="-2.9720 -2.8966 3.4132 -4.5374 2.0510 2.0192 -4.7577 -1.9463 -1.5648" Properties=species:S:1:pos:R:3 comment="KLa2Ir, optimized geometry, DFT PBE" n_ef_per_ev_cell=5.97 pbc="T T T"
Ir -6.1336 -1.3959 1.9338
La -3.0668 -0.6979 0.9669
La -9.2003 -2.0938 2.9007
K 0.0000 0.0000 0.0000

2) 4
Lattice="-0.0659 -6.1091 2.1669 -0.8963 -5.0882 -3.9152 3.5534 5.4052 0.4222" Properties=species:S:1:pos:R:3 comment="KLa2Ir, optimized geometry, DFT PBE" n_ef_per_ev_cell=3.75 pbc="T T T"
La 1.0880 -2.6408 -2.1835
La 0.0000 0.0000 0.0000
Ir -0.4811 -5.5987 -0.8741
K 1.5032 -3.1513 0.8575

So which one is most stable? That would be 1), about 0.143 eV/atom below the next structure.

1) 4
Lattice="4.2956 -0.0067 0.0224 2.1611 3.7124 0.0224 2.0276 1.1637 10.7171" Properties=species:S:1:pos:R:3 comment="KLa2Ir, optimized geometry, DFT PBE" n_ef_per_ev_cell=3.53 pbc="T T T"
La 2.0521 1.1778 9.5096
La 4.2177 2.4207 6.5885
Ir 6.3632 3.6521 8.0715
K 2.1211 1.2174 2.6905

2) 4
Lattice="4.1738 0.0000 0.8852 1.9930 3.6672 0.8852 -0.3195 -0.1900 11.7888" Properties=species:S:1:pos:R:3 comment="KLa2Ir, optimized geometry, DFT PBE" n_ef_per_ev_cell=3.40 pbc="T T T"
La 5.2839 3.1422 5.9335
La 0.5634 0.3350 7.6258
Ir 2.9237 1.7386 6.7796
K 0.0000 0.0000 0.0000

3) 8
Lattice="-8.3140 -2.5177 2.5763 -1.2872 -3.9760 -8.0395 -3.4101 -6.4469 -1.3716" Properties=species:S:1:pos:R:3 comment="KLa2Ir, optimized geometry, DFT PBE" n_ef_per_ev_cell=8.63 pbc="T T T"
Ir 0.0000 0.0000 0.0000
Ir -8.2624 -6.1057 -0.7635
K -4.8006 -3.2468 -2.7316
K -4.7490 -6.8348 -6.0714
La -7.0978 -3.9512 0.5375
La -6.0205 -6.8456 -2.2187
La -11.0961 -10.9418 -6.6678
La -1.8082 -4.1425 -5.3207

So which one is most stable? That would be 1), about 0.035 eV/atom below the next structure.

1) 4
Lattice="11.0616 0.1123 -0.0432 9.6022 5.4927 0.0432 -10.2732 -3.0189 2.7787" Properties=species:S:1:pos:R:3 comment="KLa2Ir, optimized geometry, DFT PBE" n_ef_per_ev_cell=5.00 pbc="T T T"
K 6.1382 2.9928 1.4109
La 3.3502 -0.6515 1.3677
La 20.5830 5.5831 0.0000
Ir 11.3151 3.0692 0.0000

2) 4
Lattice="6.6707 -0.0412 0.0228 5.4930 3.7850 0.0228 3.4311 1.0560 6.2678" Properties=species:S:1:pos:R:3 comment="KLa2Ir, optimized geometry, DFT PBE" n_ef_per_ev_cell=4.15 pbc="T T T"
K 3.1911 0.9822 1.6028
La 12.3603 3.8044 3.8949
La 3.3027 1.0165 5.6683
Ir 7.9690 2.4528 4.5718

3) 4
Lattice="-3.0171 -1.7881 1.1163 1.1739 0.1930 3.4821 -4.0206 9.7414 4.7374" Properties=species:S:1:pos:R:3 comment="KLa2Ir, optimized geometry, DFT PBE" n_ef_per_ev_cell=3.44 pbc="T T T"
K -3.6436 6.5567 6.7228
Ir -2.2202 1.5895 2.6130
La -0.9010 4.0125 3.9924
La 0.6516 1.1476 3.5994

4) 4
Lattice="-0.2174 1.8199 6.4823 2.5896 -4.9217 3.8013 1.2707 4.5474 -4.8047" Properties=species:S:1:pos:R:3 comment="KLa2Ir, optimized geometry, DFT PBE" n_ef_per_ev_cell=3.24 pbc="T T T"
La 2.1871 -2.8597 9.4809
La 1.3712 -1.7930 5.9444
Ir 1.1197 2.4082 3.4097
K 2.5232 -0.9626 2.0692

So which one is most stable? That would be 3), about 0.071 eV/atom below the next structure.

1) 4
Lattice="-0.6939 -0.7383 -5.1511 -3.1127 -4.2191 -0.2666 -0.7003 4.3948 2.7850" Properties=species:S:1:pos:R:3 comment="KMg2Ir, optimized geometry, DFT PBE" n_ef_per_ev_cell=1.61 pbc="T T T"
Mg -2.8582 -1.1515 -0.0952
Mg 0.0000 0.0000 0.0000
Ir -1.9033 -2.4787 -2.7088
K -1.6488 0.5889 -2.5375

2) 4
Lattice="-2.8298 0.5057 0.8200 0.7344 -2.8976 -0.0100 3.0755 0.7446 10.1544" Properties=species:S:1:pos:R:3 comment="KMg2Ir, optimized geometry, DFT PBE" n_ef_per_ev_cell=2.52 pbc="T T T"
Mg -0.1783 -0.9855 3.2755
Mg 0.0974 0.0236 0.3217
Ir 1.4466 0.3502 4.7763
K 1.1521 -0.6634 7.6681

3) 4
Lattice="4.3361 0.0000 0.0000 0.0000 3.0834 0.0393 0.0000 -0.1112 8.1347" Properties=species:S:1:pos:R:3 comment="KMg2Ir, optimized geometry, DFT PBE" n_ef_per_ev_cell=1.71 pbc="T T T"
Ir 0.0000 1.8873 2.9223
Mg 0.0000 0.3730 0.7376
Mg 2.1680 0.3481 2.7555
K 2.1680 1.8499 5.8457

So which one is most stable? That would be 3), about 0.266 eV/atom below the next structure.

1) 4
Lattice="-5.8978 -0.7628 8.9248 -4.1841 -3.4033 9.2698 -3.0331 -0.6270 10.2677" Properties=species:S:1:pos:R:3 comment="KMg2Ir, optimized geometry, DFT PBE" n_ef_per_ev_cell=3.03 pbc="T T T"
K -9.8363 -3.5949 21.3468
Mg -6.8354 -2.4982 14.8343
Mg -12.8371 -4.6916 27.8592
Ir -3.2788 -1.1983 7.1156

2) 4
Lattice="-7.3816 -3.5032 -2.5287 -4.1429 -7.4354 -0.8410 4.3039 6.3697 3.7494" Properties=species:S:1:pos:R:3 comment="KMg2Ir, optimized geometry, DFT PBE" n_ef_per_ev_cell=1.45 pbc="T T T"
K -3.4889 -0.4176 0.0402
Ir -5.5888 -5.3046 -1.6341
Mg -4.0131 -4.4183 0.2572
Mg -11.4167 -10.8362 -3.3382

3) 4
Lattice="7.8313 -0.0102 -0.0534 -3.2276 3.8535 0.0607 1.3648 1.1124 2.7138" Properties=species:S:1:pos:R:3 comment="KMg2Ir, optimized geometry, DFT PBE" n_ef_per_ev_cell=1.71 pbc="T T T"
Ir -0.9314 2.4830 1.3873
Mg 4.5981 0.5511 1.3302
Mg 0.0000 0.0000 0.0000
K 2.3018 1.9217 0.0037

So which one is most stable? That would be 2), about 0.184 eV/atom below the next structure.

1) 4
Lattice="0.0000 3.4609 3.4609 3.4609 0.0000 3.4609 3.4609 3.4609 0.0000" Properties=species:S:1:pos:R:3 comment="KMg2Ir, optimized geometry, DFT PBE" n_ef_per_ev_cell=1.46 pbc="T T T"
Ir 3.4609 3.4609 3.4609
Mg 1.7304 1.7304 1.7304
Mg 5.1913 5.1913 5.1913
K 0.0000 0.0000 0.0000

2) 4
Lattice="-0.7785 0.6021 4.4279 -2.3147 -1.9879 3.3563 5.6836 -4.3501 2.3663" Properties=species:S:1:pos:R:3 comment="KMg2Ir, optimized geometry, DFT PBE" n_ef_per_ev_cell=2.28 pbc="T T T"
Mg 5.0534 -3.9634 2.3353
Mg 1.9254 -3.2546 5.1063
K 0.6476 -1.4340 2.5376
Ir 1.9428 -4.3019 7.6129

So which one is most stable? That would be 2), about 0.093 eV/atom below the next structure.

1) 4
Lattice="5.3703 -0.1025 0.0253 4.6723 2.6496 0.0253 2.3768 0.6028 5.9676" Properties=species:S:1:pos:R:3 comment="KMnIr2, optimized geometry, DFT PBE" n_ef_per_ev_cell=2.48 pbc="T T T"
Mn 3.4106 0.8650 0.9337
K 5.9351 1.5053 2.9147
Ir 9.3832 2.3798 5.5596
Ir 2.2772 0.5775 5.5869

2) 4
Lattice="4.4509 -0.3239 -0.1836 3.7649 2.3961 -0.1836 1.1899 0.3001 7.1737" Properties=species:S:1:pos:R:3 comment="KMnIr2, optimized geometry, DFT PBE" n_ef_per_ev_cell=3.53 pbc="T T T"
Ir 8.1302 2.0507 0.3931
Ir 4.7884 1.2078 2.6430
Mn 2.3514 0.5931 1.7016
K 7.0542 1.7793 5.1049

3) 4
Lattice="-0.8306 3.5876 2.3748 -3.1761 0.7945 -2.3111 -2.3228 -2.1595 2.4498" Properties=species:S:1:pos:R:3 comment="KMnIr2, optimized geometry, DFT PBE" n_ef_per_ev_cell=5.31 pbc="T T T"
Ir -2.7495 -0.6825 0.0693
Ir 0.0000 0.0000 0.0000
K -2.0034 2.1911 0.0319
Mn -1.5767 0.7141 2.4123

So which one is most stable? That would be 1), about 0.006 eV/atom below the next structure.

1) 5
Lattice="4.5001 0.0000 0.0000 0.0000 4.5001 0.0000 0.0000 0.0000 4.5001" Properties=species:S:1:pos:R:3 comment="KMn3Ir, optimized geometry, DFT PBE" n_ef_per_ev_cell=3.89 pbc="T T T"
Mn 0.0000 2.2500 0.0000
Mn 0.0000 0.0000 2.2500
Mn 2.2500 0.0000 0.0000
K 0.0000 0.0000 0.0000
Ir 2.2500 2.2500 2.2500

2) 5
Lattice="5.0174 0.0000 0.0000 0.0000 5.0174 0.0000 0.0000 0.0000 5.0174" Properties=species:S:1:pos:R:3 comment="KMn3Ir, optimized geometry, DFT PBE" n_ef_per_ev_cell=2.78 pbc="T T T"
Mn 0.0000 0.0000 2.5087
Mn 0.0000 2.5087 0.0000
Mn 2.5087 0.0000 0.0000
Ir 0.0000 0.0000 0.0000
K 2.5087 2.5087 2.5087

So which one is most stable? That would be 2), about 1.638 eV/atom below the next structure.

1) 4
Lattice="3.4189 0.0000 0.0000 0.0000 3.4189 0.0000 0.0000 0.0000 8.1115" Properties=species:S:1:pos:R:3 comment="KMo2Ir, optimized geometry, DFT PBE" n_ef_per_ev_cell=5.64 pbc="T T T"
Ir 1.7095 1.7095 2.0279
Mo 0.0000 0.0000 3.1746
Mo 0.0000 0.0000 0.8812
K 1.7095 1.7095 6.0836

2) 4
Lattice="-3.9115 -3.8327 -0.5413 2.7004 0.0800 4.8741 -2.0101 0.9855 1.5105" Properties=species:S:1:pos:R:3 comment="KMo2Ir, optimized geometry, DFT PBE" n_ef_per_ev_cell=4.71 pbc="T T T"
Mo -2.9608 -1.4236 0.4846
Mo 0.0000 0.0000 0.0000
Ir 0.3451 0.5328 3.1923
K -0.6055 -1.8764 2.1664

3) 4
Lattice="2.7498 0.0000 0.0000 0.0000 2.7498 0.0000 0.0000 0.0000 10.3104" Properties=species:S:1:pos:R:3 comment="KMo2Ir, optimized geometry, DFT PBE" n_ef_per_ev_cell=3.25 pbc="T T T"
Mo 0.0000 0.0000 0.6228
Mo 0.0000 0.0000 4.5324
Ir 1.3749 1.3749 2.5776
K 1.3749 1.3749 7.7328

So which one is most stable? That would be 3), about 0.110 eV/atom below the next structure.

1) 4
Lattice="4.4225 0.0000 0.0000 0.0000 2.8088 -0.0631 0.0000 0.2828 7.0698" Properties=species:S:1:pos:R:3 comment="KMoIr2, optimized geometry, DFT PBE" n_ef_per_ev_cell=4.95 pbc="T T T"
K 0.0000 1.8515 3.3862
Mo 2.2113 2.0404 6.2062
Ir 0.0000 0.6270 6.7191
Ir 2.2113 0.4014 1.2683

2) 4
Lattice="5.7101 0.0087 0.0038 2.2030 5.2680 -0.0038 -3.0628 -3.9787 2.7194" Properties=species:S:1:pos:R:3 comment="KMoIr2, optimized geometry, DFT PBE" n_ef_per_ev_cell=3.02 pbc="T T T"
Ir 3.5596 2.3736 0.0000
Ir 0.3970 0.2647 0.0000
Mo 1.5484 1.9639 1.3578
K 3.3019 -0.6658 1.3616

So which one is most stable? That would be 1), about 0.331 eV/atom below the next structure.